(1)
First-principles (PBE) data for a geometry-optimized BaLi2Ir structure, as listed in Alexandria.

```
BaLi2Ir
1.0
5.801 0.010 0.049
-2.660 5.155 0.049
1.035 1.701 3.068
Ba Ir Li
1 1 2
Cartesian
3.418 0.856 1.558
-0.813 3.428 1.558
0.000 0.000 0.000
1.570 2.583 0.049
```

Its space group is No. 12. The mass density comes out at 6275 kg/m3. For the density of states at the Fermi level, the calculation gives 2.49 states/eV/f.u. The magnetic moment is 0.000 μB per atom. Its formation energy from the elements is 32 kJ per mole of atoms.

=====

(2)
First-principles (PBE) data for a geometry-optimized LiCrSeS structure, as listed in Alexandria.

```
LiCrSeS
1.0
3.639 0.001 0.002
1.819 3.152 0.002
1.817 1.045 6.565
Li Cr Se S
1 1 1 1
Cartesian
3.551 2.605 0.048
5.368 3.651 3.608
5.368 1.549 5.106
3.549 2.600 2.428
```

Its space group is No. 160. The mass density comes out at 3748 kg/m3. The calculation puts the formation energy from raw total energies at -0.8703 eV per atom. The magnetic moment is 0.750 μB per atom.

=====

(3)
First-principles (PBE) data for a geometry-optimized NaInHg3 structure, as listed in Alexandria.

```
NaInHg3
1.0
5.638 0.000 0.000
0.000 5.638 0.000
0.000 0.000 5.638
Na Hg In
1 3 1
Cartesian
2.819 2.819 2.819
0.000 2.819 0.000
0.000 0.000 2.819
2.819 0.000 0.000
0.000 0.000 0.000
```

Its space group is No. 221. The mass density comes out at 6852 kg/m3. For the density of states at the Fermi level, the calculation gives 2.77 states/eV/f.u. The magnetic moment is 0.000 μB per atom. Its formation energy from the elements is 6 kJ per mole of atoms.